Density functional theory data (PBE+U) for crystalline NaMnSi2O6 at its relaxed geometry.

The space group is C2/c (No. 15) and the conventional cell measures 9.6616, 8.7527 and 5.4329 Å, with angles of 90.00, 105.31 and 90.00 degrees. The distinct sites, in fractional coordinates, are Na at (0.0000, 0.2030, 0.2500), Mn at (0.0000, 0.4046, 0.7500), Si at (0.2063, 0.0878, 0.7537), O at (0.1180, 0.4238, 0.1613), O at (0.1393, 0.2577, 0.6962) and O at (0.1446, 0.0070, 0.9801).

Its total energy is -7.30 eV/atom.